*P*
IrPtAu | PBE | optimized geometry

Summary:
Crystal system = tetragonal
Size of the total moment = 0.00 μB per atom
Fermi-level density of states = 4.4 states/eV/f.u.

CIF file:
```
data_IrPtAu
_chemical_formula_sum 'Ir2 Pt2 Au2'
_cell_length_a 2.812
_cell_length_b 2.812
_cell_length_c 12.205
_cell_angle_alpha 90.00
_cell_angle_beta 90.00
_cell_angle_gamma 90.00
_symmetry_space_group_name_H-M 'I 4 m m'
_symmetry_Int_Tables_number 107
_symmetry_space_group_name_Hall 'I 4 -2'
loop_
_atom_site_label
_atom_site_fract_x
_atom_site_fract_y
_atom_site_fract_z
_atom_site_occupancy
Ir1 0.000 0.000 0.000 1
Pt1 0.000 0.000 0.652 1
Au1 0.000 0.000 0.328 1
```

=====

*Q*
IrPtAu | PBE | optimized geometry

Summary:
Crystal system = cubic
Size of the total moment = 0.26 μB per atom
Fermi-level density of states = 5.6 states/eV/f.u.

CIF file:
```
data_IrPtAu
_chemical_formula_sum 'Ir4 Pt4 Au4'
_cell_length_a 6.127
_cell_length_b 6.127
_cell_length_c 6.127
_cell_angle_alpha 90.00
_cell_angle_beta 90.00
_cell_angle_gamma 90.00
_symmetry_space_group_name_H-M 'F -4 3 m'
_symmetry_Int_Tables_number 216
_symmetry_space_group_name_Hall 'F -4 2 3'
loop_
_atom_site_label
_atom_site_fract_x
_atom_site_fract_y
_atom_site_fract_z
_atom_site_occupancy
Ir1 0.000 0.000 0.000 1
Pt1 0.250 0.250 0.250 1
Au1 0.250 0.250 0.750 1
```

=====

*R*
IrPtAu | PBE | optimized geometry

Summary:
Crystal system = orthorhombic
Size of the total moment = 0.00 μB per atom
Fermi-level density of states = 4.7 states/eV/f.u.

CIF file:
```
data_IrPtAu
_chemical_formula_sum 'Ir4 Pt4 Au4'
_cell_length_a 2.750
_cell_length_b 4.862
_cell_length_c 14.584
_cell_angle_alpha 90.00
_cell_angle_beta 90.00
_cell_angle_gamma 90.00
_symmetry_space_group_name_H-M 'F m m 2'
_symmetry_Int_Tables_number 42
_symmetry_space_group_name_Hall 'F 2 -2'
loop_
_atom_site_label
_atom_site_fract_x
_atom_site_fract_y
_atom_site_fract_z
_atom_site_occupancy
Ir1 0.000 0.000 0.000 1
Pt1 0.000 0.000 0.660 1
Au1 0.000 0.000 0.332 1
```

=====

Which one sits at the bottom of the stability order? *Q* does.

=====

*P*
IrPtAu | PBE | optimized geometry

Summary:
Crystal system = hexagonal
Size of the total moment = 0.00 μB per atom
Fermi-level density of states = 5.0 states/eV/f.u.

CIF file:
```
data_IrPtAu
_chemical_formula_sum 'Ir1 Pt1 Au1'
_cell_length_a 4.5443
_cell_length_b 4.5443
_cell_length_c 2.7491
_cell_angle_alpha 90.00
_cell_angle_beta 90.00
_cell_angle_gamma 120.00
_symmetry_space_group_name_H-M 'P -6 m 2'
_symmetry_Int_Tables_number 187
_symmetry_space_group_name_Hall 'P -6 2'
loop_
_atom_site_label
_atom_site_fract_x
_atom_site_fract_y
_atom_site_fract_z
_atom_site_occupancy
Ir1 0.0000 0.0000 0.0000 1
Pt1 0.6667 0.3333 0.0000 1
Au1 0.3333 0.6667 0.5000 1
```

=====

*Q*
IrPtAu | PBE | optimized geometry

Summary:
Crystal system = trigonal
Size of the total moment = 0.00 μB per atom
Fermi-level density of states = 4.0 states/eV/f.u.

CIF file:
```
data_IrPtAu
_chemical_formula_sum 'Ir1 Pt1 Au1'
_cell_length_a 2.8289
_cell_length_b 2.8289
_cell_length_c 6.9293
_cell_angle_alpha 90.00
_cell_angle_beta 90.00
_cell_angle_gamma 120.00
_symmetry_space_group_name_H-M 'P 3 m 1'
_symmetry_Int_Tables_number 156
_symmetry_space_group_name_Hall 'P 3 -2"'
loop_
_atom_site_label
_atom_site_fract_x
_atom_site_fract_y
_atom_site_fract_z
_atom_site_occupancy
Ir1 0.0000 0.0000 0.0000 1
Pt1 0.3333 0.6667 0.3149 1
Au1 0.6667 0.3333 0.6604 1
```

=====

Which one sits at the bottom of the stability order? *P* does.

=====

*P*
Pu4Ir2Au | PBE | optimized geometry

Summary:
Crystal system = tetragonal
Size of the total moment = 3.08 μB per atom
Fermi-level density of states = 27.4 states/eV/f.u.

CIF file:
```
data_Pu4Ir2Au
_chemical_formula_sum 'Pu16 Ir8 Au4'
_cell_length_a 8.682
_cell_length_b 8.682
_cell_length_c 8.622
_cell_angle_alpha 90.00
_cell_angle_beta 90.00
_cell_angle_gamma 90.00
_symmetry_space_group_name_H-M 'I -4 2 d'
_symmetry_Int_Tables_number 122
_symmetry_space_group_name_Hall 'I -4 2bw'
loop_
_atom_site_label
_atom_site_fract_x
_atom_site_fract_y
_atom_site_fract_z
_atom_site_occupancy
Pu1 0.074 0.671 0.433 1
Ir1 0.138 0.750 0.125 1
Au1 0.000 0.000 0.500 1
```

=====

*Q*
Pu4Ir2Au | PBE | optimized geometry

Summary:
Crystal system = trigonal
Size of the total moment = 2.87 μB per atom
Fermi-level density of states = 23.7 states/eV/f.u.

CIF file:
```
data_Pu4Ir2Au
_chemical_formula_sum 'Pu12 Ir6 Au3'
_cell_length_a 4.8268
_cell_length_b 4.8268
_cell_length_c 21.3255
_cell_angle_alpha 90.00
_cell_angle_beta 90.00
_cell_angle_gamma 120.00
_symmetry_space_group_name_H-M 'R -3 m'
_symmetry_Int_Tables_number 166
_symmetry_space_group_name_Hall '-R 3 2"'
loop_
_atom_site_label
_atom_site_fract_x
_atom_site_fract_y
_atom_site_fract_z
_atom_site_occupancy
Pu1 0.0000 0.0000 0.0697 1
Pu2 0.0000 0.0000 0.2327 1
Ir1 0.0000 0.0000 0.3644 1
Au1 0.0000 0.0000 0.5000 1
```

=====

Which one sits at the bottom of the stability order? *Q* does.

=====

*P*
RbIr2Au | PBE | optimized geometry

Summary:
Crystal system = cubic
Size of the total moment = 0.45 μB per atom
Fermi-level density of states = 8.0 states/eV/f.u.

CIF file:
```
data_RbIr2Au
_chemical_formula_sum 'Rb4 Ir8 Au4'
_cell_length_a 6.767
_cell_length_b 6.767
_cell_length_c 6.767
_cell_angle_alpha 90.00
_cell_angle_beta 90.00
_cell_angle_gamma 90.00
_symmetry_space_group_name_H-M 'F m -3 m'
_symmetry_Int_Tables_number 225
_symmetry_space_group_name_Hall '-F 4 2 3'
loop_
_atom_site_label
_atom_site_fract_x
_atom_site_fract_y
_atom_site_fract_z
_atom_site_occupancy
Rb1 0.000 0.000 0.000 1
Ir1 0.250 0.250 0.250 1
Au1 0.000 0.000 0.500 1
```

=====

*Q*
RbIr2Au | PBE | optimized geometry

Summary:
Crystal system = tetragonal
Size of the total moment = 0.00 μB per atom
Fermi-level density of states = 4.2 states/eV/f.u.

CIF file:
```
data_RbIr2Au
_chemical_formula_sum 'Rb4 Ir8 Au4'
_cell_length_a 4.792
_cell_length_b 4.792
_cell_length_c 19.163
_cell_angle_alpha 90.00
_cell_angle_beta 90.00
_cell_angle_gamma 90.00
_symmetry_space_group_name_H-M 'I -4 2 d'
_symmetry_Int_Tables_number 122
_symmetry_space_group_name_Hall 'I -4 2bw'
loop_
_atom_site_label
_atom_site_fract_x
_atom_site_fract_y
_atom_site_fract_z
_atom_site_occupancy
Rb1 0.000 0.000 0.000 1
Ir1 0.030 0.250 0.625 1
Au1 0.000 0.000 0.500 1
```

=====

Which one sits at the bottom of the stability order? *P* does.